Density functional theory data (PBE) for an optimized crystal structure of Zr4CdHg.

Size of the total moment in μB/cell: 0.00
N(E_F) in states/eV/cell: 5.48
Calculated formation energy in eV/atom: -0.14
V in Å³ per cell: 134
E_tot in eV per atom: -6.0434

a = 4.3853 Å, b = 4.3942 Å, c = 7.2947 Å
α = 90.00°, β = 107.49°, γ = 90.00°
Closest atoms and distances in Å follow each position.
Atoms (fractional coordinates):
Zr 0.3321 0.0000 0.6642  8 Zr 3.10-3.17, 2 Hg 3.20, 2 Cd 3.21
Zr 0.6679 0.0000 0.3358  8 Zr 3.10-3.17, 2 Hg 3.20, 2 Cd 3.21
Zr 0.8318 0.5000 0.6636  8 Zr 3.10-3.17, 2 Cd 3.21, 2 Hg 3.21
Zr 0.1682 0.5000 0.3364  8 Zr 3.10-3.17, 2 Cd 3.21, 2 Hg 3.21
Cd 0.5000 0.5000 0.0000  4 Hg 3.10, 8 Zr 3.21
Hg 0.0000 0.0000 0.0000  4 Cd 3.10, 8 Zr 3.20-3.21

=====

Density functional theory data (PBE) for an optimized crystal structure of KNa2P2.

Size of the total moment in μB/cell: 0.00
N(E_F) in states/eV/cell: 4.15
Calculated formation energy in eV/atom: -0.13
V in Å³ per cell: 220
E_tot in eV per atom: -3.0374

a = 8.7931 Å, b = 8.7931 Å, c = 2.8515 Å
α = 90.00°, β = 90.00°, γ = 90.00°
Closest atoms and distances in Å follow each position.
Atoms (fractional coordinates):
P 0.1735 0.6735 0.5000  2 P 2.85, 6 Na 2.92-3.00
P 0.6735 0.8265 0.5000  2 P 2.85, 6 Na 2.92-3.00
P 0.8265 0.3265 0.5000  2 P 2.85, 6 Na 2.92-3.00
P 0.3265 0.1735 0.5000  2 P 2.85, 6 Na 2.92-3.00
K 0.0000 0.0000 0.0000  2 K 2.85
K 0.5000 0.5000 0.0000  2 K 2.85
Na 0.3782 0.8782 0.0000  3 Na 2.85-3.03, 6 P 2.92-3.00
Na 0.8782 0.6218 0.0000  3 Na 2.85-3.03, 6 P 2.92-3.00
Na 0.6218 0.1218 0.0000  3 Na 2.85-3.03, 6 P 2.92-3.00
Na 0.1218 0.3782 0.0000  3 Na 2.85-3.03, 6 P 2.92-3.00

=====

Density functional theory data (PBE) for an optimized crystal structure of Ac2CuNiH.

Size of the total moment in μB/cell: 0.00
N(E_F) in states/eV/cell: 6.03
V in Å³ per cell: 227
E_tot in eV per atom: -4.5566

a = 4.1783 Å, b = 6.8759 Å, c = 8.2281 Å
α = 106.20°, β = 90.00°, γ = 90.00°
Closest atoms and distances in Å follow each position.
Atoms (fractional coordinates):
Ac 0.7500 0.7672 0.5747  2 H 2.88, 3 Ni 3.10-3.19, 2 Cu 3.12
Ac 0.7500 0.7594 0.0488  3 H 2.68-2.93
Ac 0.2500 0.2328 0.4253  2 H 2.88, 3 Ni 3.10-3.19, 2 Cu 3.12
Ac 0.2500 0.2406 0.9512  3 H 2.68-2.93
Cu 0.2500 0.6344 0.2830  2 Ni 2.55
Cu 0.7500 0.3656 0.7170  2 Ni 2.55
Ni 0.2500 0.5882 0.7714  1 H 1.64
Ni 0.7500 0.4118 0.2286  1 H 1.64
H 0.2500 0.8361 0.8253  1 Ni 1.64
H 0.7500 0.1639 0.1747  1 Ni 1.64

=====

Density functional theory data (PBE) for an optimized crystal structure of Li2TaTl.

Size of the total moment in μB/cell: 0.00
N(E_F) in states/eV/cell: 2.35
Calculated formation energy in eV/atom: 0.28
V in Å³ per cell: 78
E_tot in eV per atom: -4.2321

a = 2.8949 Å, b = 2.8949 Å, c = 10.1082 Å
α = 90.00°, β = 90.00°, γ = 112.28°
Closest atoms and distances in Å follow each position.
Atoms (fractional coordinates):
Li 0.0000 0.0000 0.0041  6 Li 2.89-3.23, 2 Ta 2.96, 2 Tl 3.03
Li 0.0000 0.0000 0.4959  6 Li 2.89-3.23, 2 Ta 2.96, 2 Tl 3.03
Ta 0.5000 0.5000 0.2500  6 Ta 2.89-3.23, 4 Li 2.96
Tl 0.5000 0.5000 0.7500  6 Tl 2.89-3.23, 4 Li 3.03